Li4CoNi3P4O16 (GGA+U, relaxed); calculated total energy = -178.03 eV for the cell shown; symmetry = Pm (6); total magnetization = 9.0 μB/f.u.; mass density = 3.7 Mg/m³
1.0
4.733 0.000 0.000
0.000 5.935 0.000
-0.007 0.000 10.190
Li Co Ni P O
4 1 3 4 16
direct
0.000 0.249 0.000
0.000 0.751 0.000
0.500 0.251 0.499
0.500 0.749 0.499
0.517 0.500 0.777
0.015 0.000 0.722
0.484 0.000 0.224
0.983 0.500 0.275
0.080 0.500 0.591
0.417 0.500 0.095
0.580 0.000 0.904
0.919 0.000 0.404
0.201 0.500 0.449
0.220 0.293 0.662
0.220 0.707 0.662
0.243 0.000 0.399
0.256 0.000 0.898
0.277 0.292 0.166
0.277 0.708 0.166
0.297 0.500 0.953
0.699 0.000 0.046
0.722 0.206 0.832
0.722 0.794 0.832
0.742 0.500 0.099
0.757 0.500 0.596
0.778 0.207 0.333
0.778 0.793 0.333
0.799 0.000 0.546